PmPu5N6 | GGA-PBE | relaxed

The space group is C2/m (No. 12) and the conventional cell measures 6.064, 10.494 and 6.065 Å, with angles of 90.00, 109.64 and 90.00 degrees. The asymmetric unit holds Pm at (0.000, 0.000, 0.000), Pu at (0.000, 0.166, 0.500), Pu at (0.000, 0.334, 0.000), Pu at (0.000, 0.500, 0.500), N at (0.241, 0.500, 0.254) and N at (0.244, 0.324, 0.746).

Pm5PuN6 | GGA-PBE | relaxed

The space group is C2/m (No. 12) and the conventional cell measures 6.204, 10.735 and 6.203 Å, with angles of 90.00, 109.51 and 90.00 degrees. The asymmetric unit holds Pm at (0.000, 0.000, 0.000), Pm at (0.000, 0.166, 0.500), Pm at (0.000, 0.334, 0.000), Pu at (0.000, 0.500, 0.500), N at (0.236, 0.500, 0.259) and N at (0.237, 0.343, 0.739).

Pm8PuN6 | GGA-PBE | relaxed

The space group is R-3 (No. 148, hexagonal axes) and the conventional cell measures 6.2467, 6.2467 and 27.5489 Å, with angles of 90.00, 90.00 and 120.00 degrees. The asymmetric unit holds Pm at (0.0000, 0.0000, 0.1666), Pm at (0.9999, 0.3368, 0.6017), Pu at (0.0000, 0.0000, 0.5000) and N at (0.9999, 0.3248, 0.4450).

Pm3Pu5N12 | GGA-PBE | relaxed

The space group is Ia-3d (No. 230) and the conventional cell measures 13.600, 13.600 and 13.600 Å, with angles of 90.00, 90.00 and 90.00 degrees. The asymmetric unit holds Pm at (0.000, 0.250, 0.125), Pu at (0.000, 0.000, 0.000), Pu at (0.000, 0.250, 0.375) and N at (0.022, 0.052, 0.647).

| no. | uncorrected formation energy (eV per atom) | calculated total energy (eV/atom) |
| --- | --- | --- |
| 1 | -1.243 | -11.773 |
| 2 | -1.410 | -8.746 |
| 3 | -1.109 | -7.928 |
| 4 | -0.896 | -10.187 |